1.
NiTePb2, optimized geometry, DFT GGA-PBE; SG = P2/m (10); calculated density = 8756 kg/m³; calculated total energy = -4.037 eV per atom
1.0
4.207 0.000 0.000
0.000 5.608 0.427
0.000 3.778 5.117
Pb Te Ni
2 1 1
direct
0.000 0.862 0.946 Pb
0.000 0.638 0.554 Pb
0.500 0.250 0.250 Te
0.500 0.750 0.750 Ni

2.
NiTePb4, optimized geometry, DFT GGA-PBE; SG = F-43m (216); calculated density = 9067 kg/m³; calculated total energy = -3.360 eV per atom
1.0
0.000 4.530 4.530
4.530 0.000 4.530
4.530 4.530 0.000
Pb Ni Te
4 1 1
direct
0.374 0.374 0.374 Pb
0.374 0.877 0.374 Pb
0.374 0.374 0.877 Pb
0.877 0.374 0.374 Pb
0.000 0.000 0.000 Ni
0.750 0.750 0.750 Te

3.
NiTe2Pb, optimized geometry, DFT GGA-PBE; SG = R-3m (166); calculated density = 8429 kg/m³; calculated total energy = -4.105 eV per atom
1.0
8.331 -0.076 -0.045
7.479 3.671 -0.045
7.479 1.701 3.253
Pb Te Ni
1 2 1
direct
0.750 0.750 0.750 Pb
0.974 0.974 0.974 Te
0.526 0.526 0.526 Te
0.250 0.250 0.250 Ni

4.
TiNiTe3Pb, optimized geometry, DFT GGA-PBE; SG = P2_1/m (11); calculated density = 7324 kg/m³; calculated total energy = -4.892 eV per atom
1.0
-2.159 -2.580 2.043
-1.007 -4.523 -6.776
8.584 -2.812 5.517
Pb Te Ni Ti
2 6 2 2
direct
0.250 0.322 0.289 Pb
0.750 0.678 0.711 Pb
0.750 0.944 0.169 Te
0.250 0.056 0.831 Te
0.250 0.754 0.458 Te
0.750 0.246 0.542 Te
0.250 0.560 0.891 Te
0.750 0.440 0.109 Te
0.750 0.907 0.396 Ni
0.250 0.093 0.604 Ni
0.750 0.277 0.807 Ti
0.250 0.723 0.193 Ti

5.
Tl2NiTePb, optimized geometry, DFT GGA-PBE; SG = P4/mmm (123); calculated density = 9515 kg/m³; calculated total energy = -3.541 eV per atom
1.0
-1.037 -1.713 4.756
3.401 -3.828 -0.637
3.810 3.064 1.934
Ni Tl Pb Te
1 2 1 1
direct
0.000 0.000 0.000 Ni
0.500 0.000 0.000 Tl
0.000 0.500 0.000 Tl
0.000 0.000 0.500 Pb
0.500 0.500 0.500 Te

6.
ZnNiTePb2, optimized geometry, DFT GGA-PBE; SG = P4/mmm (123); calculated density = 8184 kg/m³; calculated total energy = -3.310 eV per atom
1.0
5.155 0.000 0.000
0.000 5.087 0.000
0.000 0.000 5.155
Pb Te Zn Ni
2 1 1 1
direct
0.000 0.000 0.500 Pb
0.500 0.000 0.000 Pb
0.000 0.500 0.000 Te
0.500 0.500 0.500 Zn
0.000 0.000 0.000 Ni

7.
ZrNi2TePb, optimized geometry, DFT GGA-PBE; SG = P4/mmm (123); calculated density = 7273 kg/m³; calculated total energy = -4.545 eV per atom
1.0
-3.882 -2.453 1.155
3.166 -4.001 2.143
-0.115 2.164 4.210
Ni Pb Te Zr
2 1 1 1
direct
0.500 0.000 0.000 Ni
0.000 0.000 0.500 Ni
0.000 0.000 0.000 Pb
0.500 0.500 0.500 Te
0.000 0.500 0.000 Zr

8.
ThNi4Pb, optimized geometry, DFT GGA-PBE; SG = F-43m (216); calculated density = 11657 kg/m³; calculated total energy = -5.955 eV per atom; ΔH_f (0 K) = -1.48 eV per formula unit
1.0
5.140 0.000 0.000
2.570 4.451 0.000
2.570 1.484 4.197
Ni Th Pb
4 1 1
direct
0.625 0.625 0.625 Ni
0.625 0.625 0.124 Ni
0.625 0.124 0.625 Ni
0.124 0.625 0.625 Ni
0.250 0.250 0.250 Th
0.000 0.000 0.000 Pb

9.
ThNi2Pb, optimized geometry, DFT GGA-PBE; SG = R-3m (166); calculated density = 11710 kg/m³; calculated total energy = -5.928 eV per atom; ΔH_f (0 K) = -1.02 eV per formula unit
1.0
-1.013 2.765 -3.597
-4.131 -0.343 -2.104
-3.304 3.676 0.752
Ni Pb Th
2 1 1
direct
0.222 0.222 0.335 Ni
0.778 0.778 0.665 Ni
0.500 0.500 0.500 Pb
0.000 0.000 0.000 Th

10.
Th3NiPb, optimized geometry, DFT GGA-PBE; SG = Cmmm (65); calculated density = 11045 kg/m³; calculated total energy = -6.547 eV per atom; ΔH_f (0 K) = -0.99 eV per formula unit
1.0
-3.607 -1.445 3.067
-4.629 -1.448 -6.127
4.884 -6.292 2.780
Th Pb Ni
6 2 2
direct
0.000 0.876 0.752 Th
0.000 0.124 0.248 Th
0.500 0.000 0.500 Th
0.500 0.309 0.000 Th
0.500 0.691 0.000 Th
0.500 0.500 0.500 Th
0.000 0.359 0.717 Pb
0.000 0.641 0.283 Pb
0.500 0.913 0.826 Ni
0.500 0.087 0.174 Ni

11.
ThNiPb2, optimized geometry, DFT GGA-PBE; SG = R-3m (166); calculated density = 10888 kg/m³; calculated total energy = -4.878 eV per atom; ΔH_f (0 K) = 1.10 eV per formula unit
1.0
3.439 0.000 0.000
1.720 2.978 0.000
1.720 0.993 10.498
Th Ni Pb
1 1 2
direct
0.000 0.000 0.000 Th
0.500 0.500 0.500 Ni
0.893 0.893 0.320 Pb
0.107 0.107 0.680 Pb

12.
TiNiPb2, optimized geometry, DFT GGA-PBE; SG = I-42d (122); calculated density = 9449 kg/m³; calculated total energy = -4.786 eV per atom; offset from the most stable computed form = 164 meV per atom; ΔH_f (0 K) = 1.95 eV per formula unit
1.0
-3.754 -1.950 -1.321
-0.758 -1.353 4.152
-6.947 6.219 3.125
Ni Pb Ti
2 4 2
direct
0.750 0.250 0.500 Ni
0.000 0.000 0.000 Ni
0.114 0.625 0.250 Pb
0.636 0.125 0.250 Pb
0.375 0.364 0.750 Pb
0.875 0.886 0.750 Pb
0.500 0.500 0.000 Ti
0.250 0.750 0.500 Ti

Look up the calculated density of the fifth one. 9515 kg/m³